Density functional theory data (PBE-GGA) for DyHoIrRh after structural relaxation.

Cell and atoms, written as extended XYZ:
```
4
Lattice="0.0000 3.4171 3.4171 3.4171 0.0000 3.4171 3.4171 3.4171 0.0000" Properties=species:S:1:pos:R:3 pbc="T T T"
Dy 0.0000 0.0000 0.0000
Ho 3.4171 3.4171 3.4171
Ir 5.1257 5.1257 5.1257
Rh 1.7086 1.7086 1.7086
```

=====

4
Lattice="0.0000 3.9725 3.9725 3.9725 0.0000 3.9725 3.9725 3.9725 0.0000" Properties=species:S:1:pos:R:3 comment="PBE-GGA BaSrZnAu, optimized geometry" polymorph_energy_ev_per_fu=0.20 pbc="T T T"
Ba 0.0000 0.0000 0.0000
Sr 3.9725 3.9725 3.9725
Zn 5.9587 5.9587 5.9587
Au 1.9862 1.9862 1.9862

=====

8
Lattice="-3.1010 3.1010 6.2436 3.1010 -3.1010 6.2436 3.1010 3.1010 -6.2436" Properties=species:S:1:pos:R:3 comment="PBE-GGA Ac4GeS2Cl, optimized geometry" formation_energy_uncorrected_ev_per_atom=-1.604 pbc="T T T"
Ac 3.1010 0.0000 0.0000
Ac 0.0000 0.0000 3.0660
Ac 0.0000 3.1010 0.0000
Ac 0.0000 0.0000 9.4212
Ge 0.0000 0.0000 0.0000
S 3.1010 0.0000 3.1218
S 0.0000 3.1010 3.1218
Cl 0.0000 0.0000 6.2436

=====

16
Lattice="-3.2827 6.7086 5.9758 3.2827 -6.7086 5.9758 3.2827 6.7086 -5.9758" Properties=species:S:1:pos:R:3 comment="PBE-GGA TbY5Th2, optimized geometry" polymorph_energy_ev_per_fu=1.10 pbc="T T T"
Tb 0.0000 3.3543 2.4490
Tb 3.2827 3.3543 3.5268
Y 3.2827 -5.1206 5.6073
Y 3.2827 3.3543 0.1728
Y 1.6414 6.9485 -2.9879
Y 1.6414 0.2399 2.9879
Y 3.2827 -1.5881 5.6073
Y 0.0000 8.2967 0.3685
Y -1.6414 6.4687 2.9879
Y 1.6414 6.4687 2.9879
Y 0.0000 3.3543 5.8029
Y 0.0000 11.8292 0.3685
Th 1.6414 3.3543 -2.9879
Th 1.6414 -3.3543 2.9879
Th 3.2827 0.0000 0.0000
Th 0.0000 0.0000 5.9758

=====

5
Lattice="5.0228 0.0000 0.0000 0.0000 5.0228 0.0000 0.0000 0.0000 5.0228" Properties=species:S:1:pos:R:3 comment="PBE-GGA MnIrAu3, optimized geometry" polymorph_energy_ev_per_fu=0.00 pbc="T T T"
Mn 0.0000 0.0000 0.0000
Ir 2.5114 2.5114 2.5114
Au 0.0000 2.5114 2.5114
Au 2.5114 0.0000 2.5114
Au 2.5114 2.5114 0.0000

=====

Density functional theory data (PBE-GGA) for HgIr4Os2 after structural relaxation.

Cell and atoms, written as extended XYZ:
```
7
Lattice="-2.4433 2.4433 6.2532 2.4433 -2.4433 6.2532 2.4433 2.4433 -6.2532" Properties=species:S:1:pos:R:3 pbc="T T T"
Hg 0.0000 0.0000 0.0000
Ir 2.4433 0.0000 0.0000
Ir 0.0000 0.0000 2.7530
Ir 0.0000 2.4433 0.0000
Ir 0.0000 0.0000 9.7534
Os 0.0000 0.0000 5.0368
Os 0.0000 0.0000 7.4696
```

=====

5
Lattice="4.5731 0.0000 0.0000 0.0000 4.5731 0.0000 0.0000 0.0000 5.5294" Properties=species:S:1:pos:R:3 comment="PBE-GGA SbPRh2Br, optimized geometry" formation_energy_uncorrected_ev_per_atom=1.250 pbc="T T T"
Sb 0.0000 0.0000 0.0000
P 2.2866 2.2866 0.0000
Rh 0.0000 2.2866 2.7647
Rh 2.2866 0.0000 2.7647
Br 0.0000 0.0000 2.7647

=====

10
Lattice="2.5330 -4.2978 0.0000 2.5330 4.2978 0.0000 -0.6535 0.0000 5.0105" Properties=species:S:1:pos:R:3 comment="PBE-GGA H2Pt3, optimized geometry" polymorph_energy_ev_per_fu=0.00 pbc="T T T"
H 2.2063 3.5858 2.5053
H 2.4254 2.1217 0.0461
H 2.0986 -2.1217 2.5513
H 2.5330 -3.5858 0.0000
Pt 1.2847 2.1046 3.2568
Pt 1.6185 0.6663 0.8578
Pt 1.2918 -0.6663 3.3631
Pt 1.6114 -2.1046 0.7515
Pt 3.7125 0.7101 3.2407
Pt 4.0392 -0.7101 0.7354

=====

Number 1: E -7.236 eV per atom. Number 2: E -2.464 eV per atom. Number 3: E -5.498 eV per atom. Number 4: E -6.239 eV per atom. Number 5: E -4.444 eV per atom. Number 6: E -6.283 eV per atom. Number 7: E -3.932 eV per atom. Number 8: E -4.880 eV per atom.